DFT (PBE+U) results for crystalline MnH2IF at its relaxed geometry.

Lattice parameters (Å, degrees): 4.5459 4.0619 4.5459 90.00 90.00 90.00
Site moments in Bohr magnetons follow the coordinates.
Element x y z (fractional)
Mn: 0.0000 0.5000 0.0000  4.66
F: 0.0000 0.0000 0.0000  0.13
I: 0.5000 0.5000 0.5000  0.22
H: 0.0000 0.0000 0.5000  0.35
H: 0.5000 0.0000 0.0000  0.35

Computed properties:
The calculation puts the total energy at -3.448 eV/atom. As for the size of the total moment: 7.00 μB per cell. The value obtained for the calculated volume is 16.79 Å³/atom. As for the crystal system: tetragonal. The calculation puts the density of states at the Fermi level at 0.1 states/eV/cell.